A:
Mg2CrMo | PBE-GGA | optimized geometry

Lattice parameters (Å, degrees): 2.673 2.673 9.053 90.00 90.00 90.00
Each line ends with the local moment (μB).
Sites, in units of the cell vectors:
Mg 0.000 0.000 0.991  -0.01
Mg 0.000 0.000 0.509  -0.01
Cr 0.500 0.500 0.750  0.30
Mo 0.500 0.500 0.250  0.08

## Properties
Density of states at the Fermi level ... 4.63 states/eV/cell

B:
Mg2CrMo | PBE-GGA | optimized geometry

Lattice parameters (Å, degrees): 3.380 4.177 4.663 90.00 90.00 90.00
Each line ends with the local moment (μB).
Sites, in units of the cell vectors:
Mo 0.500 0.000 0.500  -1.01
Mg 0.000 0.000 0.000  -0.01
Mg 0.500 0.500 0.000  -0.01
Cr 0.000 0.500 0.500  2.11

## Properties
Density of states at the Fermi level ... 2.85 states/eV/cell

C:
Mg2CrMo | PBE-GGA | optimized geometry

Lattice parameters (Å, degrees): 4.735 4.735 5.370 87.37 87.37 32.87
Sites, in units of the cell vectors:
Cr 0.254 0.254 0.278
Mg 0.998 0.998 0.002
Mg 0.750 0.750 0.747
Mo 0.497 0.497 0.473

## Properties
Density of states at the Fermi level ... 2.02 states/eV/cell

D:
Mg2CrMo | PBE-GGA | optimized geometry

Lattice parameters (Å, degrees): 3.165 3.165 6.978 90.00 90.00 90.00
Each line ends with the local moment (μB).
Sites, in units of the cell vectors:
Cr 0.500 0.500 0.704  0.89
Mo 0.000 0.000 0.550  -0.29
Mg 0.000 0.000 0.970  -0.01
Mg 0.500 0.500 0.276  0.00

## Properties
Density of states at the Fermi level ... 2.67 states/eV/cell

Which structure loses on stability? A does.

A:
Mg2CrMo | PBE-GGA | optimized geometry

Lattice parameters (Å, degrees): 4.888 4.888 2.953 90.00 90.00 90.00
Each line ends with the local moment (μB).
Sites, in units of the cell vectors:
Cr 0.000 0.500 0.500  3.66
Mg 0.500 0.500 0.000  -0.01
Mg 0.000 0.000 0.000  -0.01
Mo 0.500 0.000 0.500  0.00

## Properties
Density of states at the Fermi level ... 1.80 states/eV/cell

B:
Mg2CrMo | PBE-GGA | optimized geometry

Lattice parameters (Å, degrees): 2.883 2.883 8.593 90.00 90.00 90.00
Each line ends with the local moment (μB).
Sites, in units of the cell vectors:
Mo 0.000 0.000 0.524  0.07
Cr 0.500 0.500 0.729  2.78
Mg 0.000 0.000 0.975  -0.01
Mg 0.500 0.500 0.272  0.01

## Properties
Density of states at the Fermi level ... 3.35 states/eV/cell

Which structure loses on stability? A does.

A:
Mg2CrMo | PBE-GGA | optimized geometry

Lattice parameters (Å, degrees): 5.354 5.354 5.354 145.60 126.58 65.10
Sites, in units of the cell vectors:
Mg 0.258 0.758 0.500
Mg 0.984 0.984 0.000
Mo 0.537 0.537 0.000
Cr 0.720 0.220 0.500

## Properties
Density of states at the Fermi level ... 2.23 states/eV/cell

B:
Mg2CrMo | PBE-GGA | optimized geometry

Lattice parameters (Å, degrees): 2.834 2.834 9.250 90.00 90.00 112.64
Sites, in units of the cell vectors:
Cr 0.500 0.500 0.727
Mo 0.000 0.000 0.531
Mg 0.000 0.000 0.975
Mg 0.500 0.500 0.267

## Properties
Density of states at the Fermi level ... 2.69 states/eV/cell

Which structure loses on stability? A does.

A:
Mg2CrMo | PBE-GGA | optimized geometry

Lattice parameters (Å, degrees): 4.246 2.758 5.783 77.52 90.00 90.00
Sites, in units of the cell vectors:
Cr 0.500 0.713 0.719
Mg 0.500 0.267 0.261
Mg 0.000 0.966 0.988
Mo 0.000 0.554 0.532

## Properties
Density of states at the Fermi level ... 2.08 states/eV/cell

B:
Mg2CrMo | PBE-GGA | optimized geometry

Lattice parameters (Å, degrees): 4.664 2.681 5.369 74.39 90.00 90.00
Each line ends with the local moment (μB).
Sites, in units of the cell vectors:
Mg 0.000 0.963 0.996  -0.01
Mg 0.000 0.537 0.504  -0.01
Mo 0.500 0.250 0.250  -0.32
Cr 0.500 0.750 0.750  1.18

## Properties
Density of states at the Fermi level ... 3.69 states/eV/cell

Which structure loses on stability? B does.

A:
Mg2CrMo | PBE-GGA | optimized geometry

Lattice parameters (Å, degrees): 9.795 9.795 9.795 17.14 17.14 17.14
Each line ends with the local moment (μB).
Sites, in units of the cell vectors:
Mg 0.000 0.000 0.000  -0.01
Mg 0.500 0.500 0.500  -0.01
Cr 0.750 0.750 0.750  3.37
Mo 0.250 0.250 0.250  0.43

## Properties
Density of states at the Fermi level ... 5.24 states/eV/cell

B:
Mg2CrMo | PBE-GGA | optimized geometry

Lattice parameters (Å, degrees): 5.403 5.403 5.403 143.99 134.06 59.71
Each line ends with the local moment (μB).
Sites, in units of the cell vectors:
Mg 0.996 0.996 0.000  -0.02
Mg 0.504 0.504 0.000  -0.02
Mo 0.250 0.750 0.500  -0.90
Cr 0.750 0.250 0.500  2.17

## Properties
Density of states at the Fermi level ... 2.69 states/eV/cell

C:
Mg2CrMo | PBE-GGA | optimized geometry

Lattice parameters (Å, degrees): 5.338 5.338 2.665 84.15 84.15 120.39
Each line ends with the local moment (μB).
Sites, in units of the cell vectors:
Mo 0.500 0.000 0.500  -0.06
Mg 0.500 0.500 0.000  0.00
Mg 0.000 0.000 0.000  0.00
Cr 0.000 0.500 0.500  0.28

## Properties
Density of states at the Fermi level ... 3.33 states/eV/cell

Which structure loses on stability? A does.

A:
Mg14CrMo | PBE-GGA | optimized geometry

Lattice parameters (Å, degrees): 6.252 6.252 10.011 90.00 90.00 120.00
Each line ends with the local moment (μB).
Sites, in units of the cell vectors:
Mg 0.500 0.999 0.500  -0.01
Mg 0.159 0.841 0.744  0.00
Mg 0.667 0.333 0.751  0.01
Mg 0.498 0.997 0.000  -0.01
Mg 0.003 0.502 0.000  -0.01
Mg 0.682 0.841 0.744  0.00
Mg 0.159 0.318 0.744  0.00
Mg 0.682 0.841 0.256  0.00
Mg 0.001 0.500 0.500  -0.01
Mg 0.159 0.841 0.256  0.00
Mg 0.159 0.318 0.256  0.00
Mg 0.500 0.500 0.500  -0.01
Mg 0.667 0.333 0.249  0.01
Mg 0.498 0.502 0.000  -0.01
Mo 0.000 0.000 0.500  0.55
Cr 0.000 0.000 0.000  3.77

## Properties
Density of states at the Fermi level ... 7.89 states/eV/cell

B:
Mg14CrMo | PBE-GGA | optimized geometry

Lattice parameters (Å, degrees): 6.265 6.265 10.098 90.00 90.00 121.11
Each line ends with the local moment (μB).
Sites, in units of the cell vectors:
Mg 0.834 0.166 0.000  0.00
Mg 0.173 0.827 0.259  0.01
Mg 0.333 0.167 0.500  0.00
Mg 0.671 0.329 0.255  -0.01
Mg 0.833 0.669 0.000  0.00
Mg 0.331 0.167 0.000  0.00
Mg 0.167 0.339 0.266  0.00
Mg 0.671 0.329 0.745  -0.01
Mg 0.333 0.667 0.000  0.00
Mg 0.173 0.827 0.741  0.01
Mg 0.661 0.833 0.266  0.00
Mg 0.833 0.667 0.500  0.00
Mg 0.167 0.339 0.734  0.00
Mg 0.661 0.833 0.734  0.00
Cr 0.831 0.169 0.500  3.46
Mo 0.328 0.672 0.500  -1.38

## Properties
Density of states at the Fermi level ... 8.23 states/eV/cell

Which structure loses on stability? A does.

A:
Mg3CrMo | PBE-GGA | optimized geometry

Lattice parameters (Å, degrees): 4.932 4.932 4.932 90.00 90.00 90.00
Each line ends with the local moment (μB).
Sites, in units of the cell vectors:
Mg 0.000 0.000 0.500  -0.02
Mg 0.000 0.500 0.000  -0.01
Mg 0.500 0.000 0.000  0.00
Cr 0.000 0.000 0.000  3.57
Mo 0.500 0.500 0.500  2.86

## Properties
Density of states at the Fermi level ... 4.95 states/eV/cell

B:
Mg3CrMo | PBE-GGA | optimized geometry

Lattice parameters (Å, degrees): 5.072 5.072 5.072 90.00 90.00 90.00
Each line ends with the local moment (μB).
Sites, in units of the cell vectors:
Mg 0.000 0.500 0.000  0.02
Mg 0.000 0.000 0.500  0.00
Mg 0.500 0.000 0.000  0.02
Mo 0.000 0.000 0.000  1.58
Cr 0.500 0.500 0.500  -0.15

## Properties
Density of states at the Fermi level ... 8.35 states/eV/cell

Which structure loses on stability? B does.

A:
MgCr2N | PBE-GGA | optimized geometry

Lattice parameters (Å, degrees): 4.145 4.145 4.145 60.00 60.00 60.00
Each line ends with the local moment (μB).
Sites, in units of the cell vectors:
Cr 0.250 0.250 0.250  2.40
Cr 0.750 0.750 0.750  2.40
N 0.000 0.000 0.000  -0.19
Mg 0.500 0.500 0.500  0.01

## Properties
Density of states at the Fermi level ... 2.52 states/eV/cell

B:
MgCr2N | PBE-GGA | optimized geometry

Lattice parameters (Å, degrees): 6.154 6.154 5.441 55.56 55.56 90.00
Each line ends with the local moment (μB).
Sites, in units of the cell vectors:
Mg 0.000 0.000 0.000  -0.03
Mg 0.750 0.250 0.500  -0.03
Cr 0.375 0.516 0.750  2.42
Cr 0.484 0.125 0.250  2.50
Cr 0.875 0.734 0.750  2.40
Cr 0.266 0.625 0.250  2.48
N 0.250 0.750 0.500  -0.17
N 0.500 0.500 0.000  -0.17

## Properties
Density of states at the Fermi level ... 2.32 states/eV/cell

Which structure loses on stability? A does.

A:
MgCr2PdN | PBE-GGA | optimized geometry

Lattice parameters (Å, degrees): 5.074 4.515 5.074 90.00 90.00 90.00
Each line ends with the local moment (μB).
Sites, in units of the cell vectors:
Pd 0.000 0.500 0.000  -0.01
Cr 0.000 0.000 0.500  4.08
Cr 0.500 0.000 0.000  4.00
Mg 0.000 0.000 0.000  0.01
N 0.500 0.500 0.500  -1.39

## Properties
Density of states at the Fermi level ... 2.54 states/eV/cell

B:
MgCr2PdN | PBE-GGA | optimized geometry

Lattice parameters (Å, degrees): 4.901 4.825 4.901 90.00 90.00 90.00
Each line ends with the local moment (μB).
Sites, in units of the cell vectors:
Mg 0.000 0.500 0.000  -0.03
Pd 0.000 0.000 0.000  0.18
N 0.500 0.500 0.500  -1.21
Cr 0.500 0.000 0.000  3.85
Cr 0.000 0.000 0.500  3.85

## Properties
Density of states at the Fermi level ... 3.92 states/eV/cell

Which structure loses on stability? A does.

A:
MgCrS2N | PBE-GGA | optimized geometry

Lattice parameters (Å, degrees): 4.750 4.750 3.523 90.00 90.00 90.00
Each line ends with the local moment (μB).
Sites, in units of the cell vectors:
Cr 0.000 0.000 0.000  1.27
Mg 0.500 0.500 0.500  0.01
S 0.500 0.000 0.000  -0.04
S 0.000 0.500 0.000  -0.04
N 0.000 0.000 0.500  -0.21

## Properties
Density of states at the Fermi level ... 0.80 states/eV/cell

B:
MgCrS2N | PBE-GGA | optimized geometry

Lattice parameters (Å, degrees): 4.660 4.660 3.749 90.00 90.00 90.00
Each line ends with the local moment (μB).
Sites, in units of the cell vectors:
S 0.000 0.500 0.000  0.13
S 0.500 0.000 0.000  0.13
Cr 0.500 0.500 0.500  -0.84
N 0.000 0.000 0.500  -0.13
Mg 0.000 0.000 0.000  0.01

## Properties
Density of states at the Fermi level ... 8.19 states/eV/cell

Which structure loses on stability? B does.

A:
MgCrSe2N | PBE-GGA | optimized geometry

Lattice parameters (Å, degrees): 5.118 5.118 3.935 90.00 90.00 90.00
Each line ends with the local moment (μB).
Sites, in units of the cell vectors:
Se 0.500 0.000 0.000  -0.47
Se 0.000 0.500 0.000  -0.47
Mg 0.000 0.000 0.000  0.01
Cr 0.500 0.500 0.500  3.88
N 0.000 0.000 0.500  -1.25

## Properties
Density of states at the Fermi level ... 3.34 states/eV/cell

B:
MgCrSe2N | PBE-GGA | optimized geometry

Lattice parameters (Å, degrees): 5.038 5.038 3.535 90.00 90.00 90.00
Each line ends with the local moment (μB).
Sites, in units of the cell vectors:
Se 0.500 0.000 0.000  -0.06
Se 0.000 0.500 0.000  -0.06
Cr 0.000 0.000 0.000  1.52
Mg 0.500 0.500 0.500  0.01
N 0.000 0.000 0.500  -0.24

## Properties
Density of states at the Fermi level ... 0.99 states/eV/cell

Which structure loses on stability? A does.

A:
MgCrTe2N | PBE-GGA | optimized geometry

Lattice parameters (Å, degrees): 5.485 5.485 3.555 90.00 90.00 90.00
Each line ends with the local moment (μB).
Sites, in units of the cell vectors:
Te 0.000 0.500 0.000  -0.08
Te 0.500 0.000 0.000  -0.08
Mg 0.500 0.500 0.500  0.00
Cr 0.000 0.000 0.000  1.84
N 0.000 0.000 0.500  -0.24

## Properties
Density of states at the Fermi level ... 2.29 states/eV/cell

B:
MgCrTe2N | PBE-GGA | optimized geometry

Lattice parameters (Å, degrees): 5.632 5.632 3.842 90.00 90.00 90.00
Each line ends with the local moment (μB).
Sites, in units of the cell vectors:
Te 0.500 0.000 0.000  -0.10
Te 0.000 0.500 0.000  -0.10
N 0.000 0.000 0.500  0.99
Cr 0.500 0.500 0.500  3.99
Mg 0.000 0.000 0.000  -0.01

## Properties
Density of states at the Fermi level ... 3.07 states/eV/cell

Which structure loses on stability? B does.